No. 1
First-principles (PBE) data for an optimized crystal structure of LiGaS2, as listed in Alexandria.

Structure (CIF):
```
data_LiGaS2
_space_group_name_H-M_alt 'P 1 c 1'
_space_group_IT_number 7
_cell_length_a 3.8389
_cell_length_b 7.9939
_cell_length_c 6.6405
_cell_angle_alpha 90.00
_cell_angle_beta 125.29
_cell_angle_gamma 90.00
loop_
_space_group_symop_operation_xyz
'x,y,z'
'x,-y,z+1/2'
loop_
_atom_site_label
_atom_site_type_symbol
_atom_site_fract_x
_atom_site_fract_y
_atom_site_fract_z
_atom_site_occupancy
Li1 Li 0.0000 0.1157 0.0000 1
Ga1 Ga 0.0436 0.3680 0.5425 1
S1 S 0.2485 0.1348 0.7482 1
S2 S 0.2780 0.3837 0.2771 1
```

Computed properties:
Energy relative to the elements, uncorrected in eV per atom: -0.94
Raw total energy in eV/cell: -33.9

No. 2
First-principles (PBE) data for an optimized crystal structure of LiTi2AlC, as listed in Alexandria.

Structure (CIF):
```
data_LiTi2AlC
_space_group_name_H-M_alt 'P 4/m m m'
_space_group_IT_number 123
_space_group_name_Hall '-P 4 2'
_cell_length_a 4.4259
_cell_length_b 4.4259
_cell_length_c 3.5101
_cell_angle_alpha 90.00
_cell_angle_beta 90.00
_cell_angle_gamma 90.00
loop_
_atom_site_label
_atom_site_type_symbol
_atom_site_fract_x
_atom_site_fract_y
_atom_site_fract_z
_atom_site_occupancy
Li1 Li 0.0000 0.0000 0.0000 1
Ti1 Ti 0.0000 0.5000 0.0000 1
Al1 Al 0.5000 0.5000 0.5000 1
C1 C 0.0000 0.0000 0.5000 1
```

Computed properties:
Raw total energy in eV/cell: -25.5
Formation energy in meV/atom: 1028

No. 3
First-principles (PBE) data for an optimized crystal structure of MnTlRu4, as listed in Alexandria.

Structure (CIF):
```
data_MnTlRu4
_space_group_name_H-M_alt 'F -4 3 m'
_space_group_IT_number 216
_space_group_name_Hall 'F -4 2 3'
_cell_length_a 7.3183
_cell_length_b 7.3183
_cell_length_c 7.3183
_cell_angle_alpha 90.00
_cell_angle_beta 90.00
_cell_angle_gamma 90.00
loop_
_atom_site_label
_atom_site_type_symbol
_atom_site_fract_x
_atom_site_fract_y
_atom_site_fract_z
_atom_site_occupancy
Mn1 Mn 0.0000 0.0000 0.0000 1
Tl1 Tl 0.2500 0.2500 0.2500 1
Ru1 Ru 0.1252 0.1252 0.6252 1
```

Computed properties:
Raw total energy in eV/cell: -180.6
Formation energy in meV/atom: 582

No. 4
First-principles (PBE) data for an optimized crystal structure of MgAl3Ni6, as listed in Alexandria.

Structure (CIF):
```
data_MgAl3Ni6
_space_group_name_H-M_alt 'P 1 21/m 1'
_space_group_IT_number 11
_cell_length_a 7.5130
_cell_length_b 3.8911
_cell_length_c 8.4170
_cell_angle_alpha 90.00
_cell_angle_beta 98.48
_cell_angle_gamma 90.00
loop_
_space_group_symop_operation_xyz
'x,y,z'
'-x,-y,-z'
'-x,y+1/2,-z'
'x,-y+1/2,z'
loop_
_atom_site_label
_atom_site_type_symbol
_atom_site_fract_x
_atom_site_fract_y
_atom_site_fract_z
_atom_site_occupancy
Mg1 Mg 0.0563 0.2500 0.3910 1
Al1 Al 0.2458 0.2500 0.0241 1
Al2 Al 0.3469 0.7500 0.8070 1
Al3 Al 0.4481 0.2500 0.6046 1
Ni1 Ni 0.0596 0.7500 0.9120 1
Ni2 Ni 0.1545 0.7500 0.2044 1
Ni3 Ni 0.1636 0.2500 0.7243 1
Ni4 Ni 0.2704 0.7500 0.5091 1
Ni5 Ni 0.3702 0.2500 0.3068 1
Ni6 Ni 0.4586 0.7500 0.1007 1
```

Computed properties:
Raw total energy in eV/cell: -104.2
Formation energy in meV/atom: -461

Repeat the third record exactly.
First-principles (PBE) data for an optimized crystal structure of MnTlRu4, as listed in Alexandria.

Structure (CIF):
```
data_MnTlRu4
_space_group_name_H-M_alt 'F -4 3 m'
_space_group_IT_number 216
_space_group_name_Hall 'F -4 2 3'
_cell_length_a 7.3183
_cell_length_b 7.3183
_cell_length_c 7.3183
_cell_angle_alpha 90.00
_cell_angle_beta 90.00
_cell_angle_gamma 90.00
loop_
_atom_site_label
_atom_site_type_symbol
_atom_site_fract_x
_atom_site_fract_y
_atom_site_fract_z
_atom_site_occupancy
Mn1 Mn 0.0000 0.0000 0.0000 1
Tl1 Tl 0.2500 0.2500 0.2500 1
Ru1 Ru 0.1252 0.1252 0.6252 1
```

Computed properties:
Raw total energy in eV/cell: -180.6
Formation energy in meV/atom: 582

Q: What is the raw total energy in the fourth record?
A: -104.2 eV/cell